Record 1
{"formula": "CsSr3Al", "functional": "GGA-PBE", "state": "optimized geometry", "lattice": [[-4.3657, -3.2995, -2.7850], [4.2321, -2.4848, -3.6902], [0.8559, -4.5433, 4.0409]], "species": ["Sr", "Sr", "Sr", "Al", "Cs"], "fractional_positions": [[0.0000, 0.5000, 0.0000], [0.5000, 0.0000, 0.0000], [0.0000, 0.0000, 0.5000], [0.5000, 0.5000, 0.5000], [0.0000, 0.0000, 0.0000]], "volume_a3_per_atom": 46.30, "polymorph_energy_mev_per_atom": 1007, "formation_enthalpy_0k_ev_per_atom": 1.1022}



Record 2
{"formula": "CsSr2Al2", "functional": "GGA-PBE", "state": "optimized geometry", "lattice": [[-6.9880, -6.5125, -0.9654], [2.6697, -4.0899, 8.2657], [-2.6273, 2.5093, 2.0902]], "species": ["Cs", "Cs", "Sr", "Sr", "Sr", "Sr", "Al", "Al", "Al", "Al"], "fractional_positions": [[0.5000, 0.5000, 0.0000], [0.0000, 0.0000, 0.0000], [0.6784, 0.8216, 0.5000], [0.3216, 0.1784, 0.5000], [0.8216, 0.3216, 0.5000], [0.1784, 0.6784, 0.5000], [0.8984, 0.6016, 0.0000], [0.1016, 0.3984, 0.0000], [0.3984, 0.8984, 0.0000], [0.6016, 0.1016, 0.0000]], "volume_a3_per_atom": 38.64, "polymorph_energy_mev_per_atom": 1, "formation_enthalpy_0k_ev_per_atom": 0.1017}